No. 1
Entry from Alexandria: a relaxed structure of Cr2Hg2H2O9 (PBE with a Hubbard U).

a b c (Å): 6.582 6.582 13.904
angles (deg): 73.33 73.33 47.95
Fractional positions:
Hg (0.329, 0.912, 0.622)
Hg (0.671, 0.088, 0.378)
O (0.158, 0.842, 0.250)
O (0.622, 0.870, 0.166)
Cr (0.154, 0.545, 0.599)
O (0.870, 0.622, 0.666)
O (0.384, 0.205, 0.577)
H (0.766, 0.310, 0.786)
O (0.130, 0.378, 0.334)
H (0.234, 0.690, 0.214)
Hg (0.088, 0.671, 0.878)
Hg (0.912, 0.329, 0.122)
Cr (0.455, 0.846, 0.901)
H (0.690, 0.234, 0.714)
O (0.308, 0.595, 0.662)
O (0.842, 0.158, 0.750)
O (0.405, 0.692, 0.838)
O (0.263, 0.913, 0.010)
O (0.737, 0.087, 0.990)
H (0.310, 0.766, 0.286)
Cr (0.846, 0.455, 0.401)
O (0.087, 0.737, 0.490)
O (0.205, 0.384, 0.077)
Cr (0.545, 0.154, 0.099)
O (0.616, 0.795, 0.423)
O (0.378, 0.130, 0.834)
O (0.913, 0.263, 0.510)
O (0.595, 0.308, 0.162)
O (0.795, 0.616, 0.923)
O (0.692, 0.405, 0.338)

Calculated values
raw total energy: -5.35 eV/atom
space group: C2/c (15)
total magnetization: 0.00 Bohr magnetons per cell

No. 2
Entry from Alexandria: a relaxed structure of CrHgHO2 (PBE with a Hubbard U).

a b c (Å): 4.204 3.101 4.204
angles (deg): 90.00 90.00 90.00
Site moments in Bohr magnetons follow the coordinates.
Fractional positions:
O (0.000, 0.000, 0.500)  -0.05
Cr (0.000, 0.500, 0.000)  3.35
O (0.500, 0.000, 0.000)  -0.10
H (0.000, 0.000, 0.000)  -0.08
Hg (0.500, 0.500, 0.500)  0.00

Calculated values
raw total energy: -3.94 eV/atom
space group: P4/mmm (123)
total magnetization: 3.20 Bohr magnetons per cell